[1]
5
Lattice="6.101 0.000 0.000 0.000 6.101 0.000 0.000 0.000 4.788" Properties=species:S:1:pos:R:3 comment="Ba2GaPdAu, optimized geometry, DFT GGA-PBE" final_energy_ev_per_atom=-3.516 pbc="T T T"
Ba 3.051 0.000 0.000
Ba 0.000 3.051 0.000
Au 3.051 3.051 2.394
Pd 0.000 0.000 0.000
Ga 0.000 0.000 2.394



[2]
8
Lattice="4.454 0.000 0.000 2.227 3.857 0.000 2.227 1.286 9.850" Properties=species:S:1:pos:R:3 comment="BaGa4PdAu2, optimized geometry, DFT GGA-PBE" final_energy_ev_per_atom=-3.670 pbc="T T T"
Au 2.227 1.286 2.815
Au 6.681 3.857 7.035
Ga 4.454 2.571 7.635
Ga 6.681 3.857 4.052
Ga 4.454 2.571 2.215
Ga 2.227 1.286 5.798
Ba 0.000 0.000 0.000
Pd 4.454 2.571 4.925



Repeat the first record exactly.
5
Lattice="6.101 0.000 0.000 0.000 6.101 0.000 0.000 0.000 4.788" Properties=species:S:1:pos:R:3 comment="Ba2GaPdAu, optimized geometry, DFT GGA-PBE" final_energy_ev_per_atom=-3.516 pbc="T T T"
Ba 3.051 0.000 0.000
Ba 0.000 3.051 0.000
Au 3.051 3.051 2.394
Pd 0.000 0.000 0.000
Ga 0.000 0.000 2.394



Question: What is the formula in the first record?
Answer: Ba2GaPdAu